Compound: Na3TaN
Source: Alexandria via LeMat-Bulk
Functional: GGA-PBE
Structure: relaxed

Values from the calculation:
The value obtained for the uncorrected formation energy is 1517 meV/atom. The space-group type is No. 221. The final energy comes out at -3.310 eV/atom.

Unit cell a=4.7132 b=4.7132 c=4.7132 alpha=90.00 beta=90.00 gamma=90.00
With the nearest neighbours (Å) after each atom.
Sites, in units of the cell vectors:
Na  0.0000  0.5000  0.0000  2 N 2.36
Na  0.0000  0.0000  0.5000  2 N 2.36
Na  0.5000  0.0000  0.0000  2 N 2.36
N  0.0000  0.0000  0.0000  6 Na 2.36
Ta  0.5000  0.5000  0.5000  12 Na 3.33